## CaNiP2 (PBE-GGA)

Data for crystalline CaNiP2 at its relaxed geometry.

Properties
The calculation puts the magnetic moment at 0.00 μB/f.u. The calculation puts the energy at -5.291 eV per atom. The formation energy is -0.64 eV/atom. Its volume is 135.68 Å³ per cell. As for the crystal system: monoclinic.

Cell and atoms, written as CIF:
```
data_CaNiP2
_cell_length_a 5.982
_cell_length_b 4.275
_cell_length_c 5.994
_cell_angle_alpha 90.00
_cell_angle_beta 117.72
_cell_angle_gamma 90.00
_space_group_name_H-M_alt 'C 1 2/m 1'
_space_group_IT_number 12
loop_
_space_group_symop_operation_xyz
'x,y,z'
'-x,-y,-z'
'-x,y,-z'
'x,-y,z'
'x+1/2,y+1/2,z'
'-x+1/2,-y+1/2,-z'
'-x+1/2,y+1/2,-z'
'x+1/2,-y+1/2,z'
loop_
_atom_site_label
_atom_site_fract_x
_atom_site_fract_y
_atom_site_fract_z
Ca1 0.000 0.000 0.000
Ni1 0.000 0.500 0.500
P1 0.204 0.000 0.647
```

---

## CaNi6P4 (PBE-GGA)

Data for crystalline CaNi6P4 at its relaxed geometry.

Properties
The calculation puts the magnetic moment at 0.00 μB/f.u. The calculation puts the energy at -5.848 eV per atom. The formation energy is -0.54 eV/atom. Its volume is 300.31 Å³ per cell. The energy relative to the lowest polymorph listed for this composition comes out at 1.56 kcal/mol of atoms. As for the crystal system: tetragonal.

Cell and atoms, written as CIF:
```
data_CaNi6P4
_cell_length_a 6.174
_cell_length_b 6.174
_cell_length_c 7.879
_cell_angle_alpha 90.00
_cell_angle_beta 90.00
_cell_angle_gamma 90.00
_space_group_name_H-M_alt 'I -4 2 m'
_space_group_IT_number 121
_space_group_name_Hall 'I -4 2'
loop_
_atom_site_label
_atom_site_fract_x
_atom_site_fract_y
_atom_site_fract_z
Ca1 0.000 0.000 0.000
Ni1 0.000 0.500 0.000
Ni2 0.147 0.147 0.374
P1 0.211 0.211 0.649
```

---

## CaNi3P (PBE-GGA)

Data for crystalline CaNi3P at its relaxed geometry.

Properties
The calculation puts the magnetic moment at 0.00 μB/f.u. The calculation puts the energy at -3.305 eV per atom. The formation energy is 1.65 eV/atom. Its volume is 90.94 Å³ per cell. The energy relative to the lowest polymorph listed for this composition comes out at 46.30 kcal/mol of atoms. As for the crystal system: cubic.

Cell and atoms, written as CIF:
```
data_CaNi3P
_cell_length_a 4.497
_cell_length_b 4.497
_cell_length_c 4.497
_cell_angle_alpha 90.00
_cell_angle_beta 90.00
_cell_angle_gamma 90.00
_space_group_name_H-M_alt 'P m -3 m'
_space_group_IT_number 221
_space_group_name_Hall '-P 4 2 3'
loop_
_atom_site_label
_atom_site_fract_x
_atom_site_fract_y
_atom_site_fract_z
Ca1 0.000 0.000 0.000
Ni1 0.000 0.000 0.500
P1 0.500 0.500 0.500
```

---

## CaNiP4 (PBE-GGA)

Data for crystalline CaNiP4 at its relaxed geometry.

Properties
The calculation puts the magnetic moment at 0.00 μB/f.u. The calculation puts the energy at -4.728 eV per atom. The formation energy is 0.18 eV/atom. Its volume is 389.87 Å³ per cell. The energy relative to the lowest polymorph listed for this composition comes out at 0.00 kcal/mol of atoms. As for the crystal system: cubic.

Cell and atoms, written as CIF:
```
data_CaNiP4
_cell_length_a 7.305
_cell_length_b 7.305
_cell_length_c 7.305
_cell_angle_alpha 90.00
_cell_angle_beta 90.00
_cell_angle_gamma 90.00
_space_group_name_H-M_alt 'F -4 3 m'
_space_group_IT_number 216
_space_group_name_Hall 'F -4 2 3'
loop_
_atom_site_label
_atom_site_fract_x
_atom_site_fract_y
_atom_site_fract_z
Ca1 0.000 0.000 0.000
Ni1 0.250 0.250 0.750
P1 0.117 0.117 0.383
```

---

## CaNi2P2 (PBE-GGA)

Data for crystalline CaNi2P2 at its relaxed geometry.

Properties
The calculation puts the magnetic moment at 0.00 μB/f.u. The calculation puts the energy at -5.728 eV per atom. The formation energy is -0.85 eV/atom. Its volume is 143.65 Å³ per cell. As for the crystal system: monoclinic.

Cell and atoms, written as CIF:
```
data_CaNi2P2
_cell_length_a 5.531
_cell_length_b 5.541
_cell_length_c 5.436
_cell_angle_alpha 90.00
_cell_angle_beta 120.44
_cell_angle_gamma 90.00
_space_group_name_H-M_alt 'C 1 2/m 1'
_space_group_IT_number 12
loop_
_space_group_symop_operation_xyz
'x,y,z'
'-x,-y,-z'
'-x,y,-z'
'x,-y,z'
'x+1/2,y+1/2,z'
'-x+1/2,-y+1/2,-z'
'-x+1/2,y+1/2,-z'
'x+1/2,-y+1/2,z'
loop_
_atom_site_label
_atom_site_fract_x
_atom_site_fract_y
_atom_site_fract_z
Ca1 0.000 0.000 0.000
Ni1 0.000 0.250 0.500
P1 0.124 0.500 0.247
```

---

## CaNiP2 (PBE-GGA)

Data for crystalline CaNiP2 at its relaxed geometry.

Properties
The calculation puts the magnetic moment at 0.00 μB/f.u. The calculation puts the energy at -4.716 eV per atom. The formation energy is -0.07 eV/atom. Its volume is 264.55 Å³ per cell. As for the crystal system: cubic.

Cell and atoms, written as CIF:
```
data_CaNiP2
_cell_length_a 6.420
_cell_length_b 6.420
_cell_length_c 6.420
_cell_angle_alpha 90.00
_cell_angle_beta 90.00
_cell_angle_gamma 90.00
_space_group_name_H-M_alt 'F m -3 m'
_space_group_IT_number 225
_space_group_name_Hall '-F 4 2 3'
loop_
_atom_site_label
_atom_site_fract_x
_atom_site_fract_y
_atom_site_fract_z
Ca1 0.000 0.000 0.000
Ni1 0.000 0.000 0.500
P1 0.250 0.250 0.250
```

---

What is the volume in the fourth record?
389.87 Å³ per cell